Record 1
Compound: TcMo3W2
Source: Alexandria
Functional: PBE
Structure: optimized geometry

Computed properties:
- Space-group type: C2/m, No. 12
- VASP energy: -11.11 eV per atom
- Mass density: 13.0 Mg/m³
- Energy of formation from the pure elements: 0.348 eV per atom

Cell: 8.2284 8.2284 9.4509 Å, 106.65 106.65 18.32°
With the nearest neighbours (Å) after each atom.
Fractional positions:
Tc: 0.1400 0.1400 0.1253  2 Tc 2.62, 1 Mo 2.77, 6 W 2.90-2.93
Tc: 0.8600 0.8600 0.8747  2 Tc 2.62, 1 Mo 2.77, 6 W 2.90-2.93
Mo: 0.0626 0.0626 0.6339  3 Mo 2.62-2.75, 3 W 2.76-2.87
Mo: 0.3093 0.3093 0.1186  4 Mo 2.62-2.82, 1 W 2.74, 1 Tc 2.77
Mo: 0.3933 0.3933 0.6126  2 Mo 2.62, 4 W 2.68-2.92
Mo: 0.6067 0.6067 0.3874  2 Mo 2.62, 4 W 2.68-2.92
Mo: 0.6907 0.6907 0.8814  4 Mo 2.62-2.82, 1 W 2.74, 1 Tc 2.77
Mo: 0.9374 0.9374 0.3661  3 Mo 2.62-2.75, 3 W 2.76-2.87
W: 0.2323 0.2323 0.6325  2 W 2.62, 4 Mo 2.68-2.92, 2 Tc 2.92
W: 0.4791 0.4791 0.1258  3 W 2.62-2.66, 4 Mo 2.73-2.87, 4 Tc 2.90-2.93
W: 0.5209 0.5209 0.8742  3 W 2.62-2.66, 4 Mo 2.73-2.87, 4 Tc 2.90-2.93
W: 0.7677 0.7677 0.3675  2 W 2.62, 4 Mo 2.68-2.92, 2 Tc 2.92

---

Record 2
Compound: Ce4AlCo2
Source: Alexandria
Functional: PBE
Structure: optimized geometry

Computed properties:
- Space-group type: P1, No. 1
- VASP energy: -6.13 eV per atom
- Mass density: 7.9 Mg/m³
- Energy of formation from the pure elements: -0.177 eV per atom

Cell: 6.3557 6.4843 8.3393 Å, 108.41 106.30 100.82°
With the nearest neighbours (Å) after each atom.
Fractional positions:
Ce: 0.0000 0.0000 0.0000  2 Co 2.38-2.47
Ce: 0.0316 0.3567 0.4772  1 Co 2.45
Ce: 0.1053 0.8410 0.3752  1 Co 2.31
Ce: 0.2968 0.3337 0.8108  1 Co 2.61, 2 Ce 2.89-2.91
Ce: 0.3807 0.8944 0.7531  2 Co 2.65-2.94, 1 Ce 2.91
Ce: 0.5216 0.6805 0.2456  2 Co 2.35-2.41
Ce: 0.7116 0.5370 0.6267  1 Co 2.51
Ce: 0.8738 0.4221 0.0179  3 Co 2.87-3.07, 2 Ce 2.96-3.06, 1 Al 3.16
Al: 0.5257 0.1530 0.1850  3 Co 2.54-2.71
Al: 0.7715 0.0555 0.6286  1 Co 2.57
Co: 0.2068 0.7132 0.9487  3 Ce 2.47-2.65
Co: 0.2808 0.4226 0.3103  2 Ce 2.35-2.45, 1 Co 2.61
Co: 0.4210 0.1476 0.4568  2 Ce 2.31-2.51, 2 Al 2.54-2.57
Co: 0.6821 0.8290 0.0603  2 Ce 2.38-2.41, 1 Al 2.54

---

The highest VASP energy belongs to which entry? Ce4AlCo2

---

Please write out number 2 again, unchanged.
Compound: Ce4AlCo2
Source: Alexandria
Functional: PBE
Structure: optimized geometry

Computed properties:
- Space-group type: P1, No. 1
- VASP energy: -6.13 eV per atom
- Mass density: 7.9 Mg/m³
- Energy of formation from the pure elements: -0.177 eV per atom

Cell: 6.3557 6.4843 8.3393 Å, 108.41 106.30 100.82°
With the nearest neighbours (Å) after each atom.
Fractional positions:
Ce: 0.0000 0.0000 0.0000  2 Co 2.38-2.47
Ce: 0.0316 0.3567 0.4772  1 Co 2.45
Ce: 0.1053 0.8410 0.3752  1 Co 2.31
Ce: 0.2968 0.3337 0.8108  1 Co 2.61, 2 Ce 2.89-2.91
Ce: 0.3807 0.8944 0.7531  2 Co 2.65-2.94, 1 Ce 2.91
Ce: 0.5216 0.6805 0.2456  2 Co 2.35-2.41
Ce: 0.7116 0.5370 0.6267  1 Co 2.51
Ce: 0.8738 0.4221 0.0179  3 Co 2.87-3.07, 2 Ce 2.96-3.06, 1 Al 3.16
Al: 0.5257 0.1530 0.1850  3 Co 2.54-2.71
Al: 0.7715 0.0555 0.6286  1 Co 2.57
Co: 0.2068 0.7132 0.9487  3 Ce 2.47-2.65
Co: 0.2808 0.4226 0.3103  2 Ce 2.35-2.45, 1 Co 2.61
Co: 0.4210 0.1476 0.4568  2 Ce 2.31-2.51, 2 Al 2.54-2.57
Co: 0.6821 0.8290 0.0603  2 Ce 2.38-2.41, 1 Al 2.54

---

Which value of mass density does entry 2 give? 7.9 Mg/m³

---

VASP energy of number 1 (TcMo3W2)? -11.11 eV per atom